The following is a PBE calculation of a relaxed TmTeI crystal, from Alexandria via LeMat-Bulk.

Output
total energy = -4.3350 eV per atom
V = 753.6 Å³/cell
raw formation energy = -1.2806 eV/atom
density = 5.60 Mg/m³
energy relative to the lowest polymorph listed for this composition = 55.4 meV per atom

Cell: 9.7334 9.7334 9.7334 Å, 107.67 107.67 107.67°
With the nearest neighbours (Å) after each atom.
Atoms (fractional coordinates):
Tm 0.1859 0.5661 0.7095  3 Te 2.94-3.00, 3 I 3.06-3.24
Tm 0.2905 0.8141 0.4339  3 Te 2.94-3.00, 3 I 3.06-3.24
Tm 0.4339 0.2905 0.8141  3 Te 2.94-3.00, 3 I 3.06-3.24
Tm 0.5661 0.7095 0.1859  3 Te 2.94-3.00, 3 I 3.06-3.24
Tm 0.7095 0.1859 0.5661  3 Te 2.94-3.00, 3 I 3.06-3.24
Tm 0.8141 0.4339 0.2905  3 Te 2.94-3.00, 3 I 3.06-3.24
Te 0.1504 0.4715 0.3793  3 Tm 2.94-3.00
Te 0.3793 0.1504 0.4715  3 Tm 2.94-3.00
Te 0.4715 0.3793 0.1504  3 Tm 2.94-3.00
Te 0.5285 0.6207 0.8496  3 Tm 2.94-3.00
Te 0.6207 0.8496 0.5285  3 Tm 2.94-3.00
Te 0.8496 0.5285 0.6207  3 Tm 2.94-3.00
I 0.0768 0.2334 0.7019  3 Tm 3.06-3.24
I 0.2334 0.7019 0.0768  3 Tm 3.06-3.24
I 0.2981 0.9232 0.7666  3 Tm 3.06-3.24
I 0.7019 0.0768 0.2334  3 Tm 3.06-3.24
I 0.7666 0.2981 0.9232  3 Tm 3.06-3.24
I 0.9232 0.7666 0.2981  3 Tm 3.06-3.24

***

The following is a PBE calculation of a relaxed Tm2Te2I crystal, from Alexandria via LeMat-Bulk.

Output
total energy = -4.6315 eV per atom
V = 330.0 Å³/cell
raw formation energy = -1.2762 eV/atom
density = 7.25 Mg/m³

Cell: 4.2970 4.2970 17.8710 Å, 90.00 90.00 90.00°
With the nearest neighbours (Å) after each atom.
Atoms (fractional coordinates):
Tm 0.0000 0.0000 0.1674  1 I 2.99, 5 Te 3.04-3.07
Tm 0.0000 0.0000 0.8326  1 I 2.99, 5 Te 3.04-3.07
Tm 0.5000 0.5000 0.3326  1 I 2.99, 5 Te 3.04-3.07
Tm 0.5000 0.5000 0.6674  1 I 2.99, 5 Te 3.04-3.07
Te 0.0000 0.0000 0.3389  5 Tm 3.04-3.07
Te 0.0000 0.0000 0.6611  5 Tm 3.04-3.07
Te 0.5000 0.5000 0.1611  5 Tm 3.04-3.07
Te 0.5000 0.5000 0.8389  5 Tm 3.04-3.07
I 0.0000 0.0000 0.0000  2 Tm 2.99
I 0.5000 0.5000 0.5000  2 Tm 2.99

***

The following is a PBE calculation of a relaxed TmTeI crystal, from Alexandria via LeMat-Bulk.

Output
total energy = -4.3527 eV per atom
V = 435.5 Å³/cell
raw formation energy = -1.2982 eV/atom
density = 6.46 Mg/m³
energy relative to the lowest polymorph listed for this composition = 37.7 meV per atom

Cell: 4.1715 4.1715 25.0256 Å, 90.00 90.00 90.00°
With the nearest neighbours (Å) after each atom.
Atoms (fractional coordinates):
Tm 0.0000 0.0000 0.1655  2 I 3.07, 5 Te 3.12-3.21
Tm 0.0000 0.0000 0.8345  2 I 3.07, 5 Te 3.12-3.21
Tm 0.5000 0.5000 0.3345  2 I 3.07, 5 Te 3.12-3.21
Tm 0.5000 0.5000 0.6655  2 I 3.07, 5 Te 3.12-3.21
Te 0.0000 0.0000 0.2937  5 Tm 3.12-3.21
Te 0.0000 0.0000 0.7063  5 Tm 3.12-3.21
Te 0.5000 0.5000 0.2063  5 Tm 3.12-3.21
Te 0.5000 0.5000 0.7937  5 Tm 3.12-3.21
I 0.0000 0.5000 0.0758  2 Tm 3.07
I 0.0000 0.5000 0.4242  2 Tm 3.07
I 0.5000 0.0000 0.5758  2 Tm 3.07
I 0.5000 0.0000 0.9242  2 Tm 3.07